[1]
Crystalline KRe2Os at its relaxed geometry, computed with PBE-GGA.

Properties
Relative energy among the computed polymorphs   810 meV per atom
E_tot   -7.71 eV/atom
N(E_F)   1.323 states/eV per atom
Formation energy from the elements   1.60 eV/atom

Cell lengths 5.304, 2.572, 5.482 Å; angles 90.00, 112.40, 90.00 degrees
Space group P2/m (No. 10)
Asymmetric unit:
K: 0.000 0.000 0.000
Re: 0.000 0.500 0.500
Re: 0.500 0.000 0.500
Os: 0.500 0.500 0.000

[2]
Crystalline K2ReOs at its relaxed geometry, computed with PBE-GGA.

Properties
Relative energy among the computed polymorphs   398 meV per atom
E_tot   -5.31 eV/atom
N(E_F)   0.753 states/eV per atom
Formation energy from the elements   1.16 eV/atom

Cell lengths 3.780, 5.892, 11.209 Å; angles 90.00, 90.00, 90.00 degrees
Space group Imm2 (No. 44)
Asymmetric unit:
K: 0.000 0.000 0.000
K: 0.000 0.500 0.213
Re: 0.000 0.500 0.803
Os: 0.000 0.000 0.420

[3]
Crystalline K2Re2Os at its relaxed geometry, computed with PBE-GGA.

Properties
Relative energy among the computed polymorphs   910 meV per atom
E_tot   -5.70 eV/atom
N(E_F)   1.295 states/eV per atom
Formation energy from the elements   1.97 eV/atom

Cell lengths 3.571, 3.571, 16.474 Å; angles 90.00, 90.00, 90.00 degrees
Space group I4/mmm (No. 139)
Asymmetric unit:
K: 0.000 0.500 0.250
Re: 0.000 0.000 0.070
Os: 0.000 0.000 0.500

[4]
Crystalline KRe2Os at its relaxed geometry, computed with PBE-GGA.

Properties
Relative energy among the computed polymorphs   0 meV per atom
E_tot   -8.52 eV/atom
N(E_F)   1.384 states/eV per atom
Formation energy from the elements   0.79 eV/atom

Cell lengths 2.8005, 2.8005, 31.3430 Å; angles 90.00, 90.00, 120.00 degrees
Space group R-3m (No. 166, hexagonal axes)
Asymmetric unit:
K: 0.0000 0.0000 0.0000
Re: 0.0000 0.0000 0.2351
Os: 0.0000 0.0000 0.5000

[5]
Crystalline KReOs at its relaxed geometry, computed with PBE-GGA.

Properties
Relative energy among the computed polymorphs   1582 meV per atom
E_tot   -5.79 eV/atom
N(E_F)   0.930 states/eV per atom
Formation energy from the elements   2.46 eV/atom

Cell lengths 4.102, 4.102, 7.761 Å; angles 90.00, 90.00, 90.00 degrees
Space group I4mm (No. 107)
Asymmetric unit:
K: 0.000 0.000 0.000
Re: 0.000 0.000 0.353
Os: 0.000 0.000 0.642

[6]
Crystalline KRe2Os at its relaxed geometry, computed with PBE-GGA.

Properties
Relative energy among the computed polymorphs   117 meV per atom
E_tot   -8.40 eV/atom
N(E_F)   1.282 states/eV per atom
Formation energy from the elements   0.91 eV/atom

Cell lengths 2.755, 2.755, 9.800 Å; angles 90.00, 90.00, 90.00 degrees
Space group P4/mmm (No. 123)
Asymmetric unit:
K: 0.000 0.000 0.000
Re: 0.500 0.500 0.308
Os: 0.000 0.000 0.500

[7]
Crystalline K2ReOs at its relaxed geometry, computed with PBE-GGA.

Properties
Relative energy among the computed polymorphs   592 meV per atom
E_tot   -5.11 eV/atom
N(E_F)   0.597 states/eV per atom
Formation energy from the elements   1.36 eV/atom

Cell lengths 5.497, 11.854, 2.743 Å; angles 90.00, 117.40, 90.00 degrees
Space group C2/m (No. 12)
Asymmetric unit:
K: 0.250 0.250 0.000
Re: 0.000 0.000 0.500
Os: 0.000 0.500 0.500

[8]
Crystalline KReOs2 at its relaxed geometry, computed with PBE-GGA.

Properties
Relative energy among the computed polymorphs   507 meV per atom
E_tot   -7.79 eV/atom
N(E_F)   0.876 states/eV per atom
Formation energy from the elements   1.21 eV/atom

Cell lengths 2.682, 5.112, 10.570 Å; angles 90.00, 90.00, 90.00 degrees
Space group Imm2 (No. 44)
Asymmetric unit:
K: 0.000 0.000 0.000
Re: 0.000 0.500 0.210
Os: 0.000 0.000 0.497
Os: 0.000 0.500 0.788

[9]
Crystalline KReOs2 at its relaxed geometry, computed with PBE-GGA.

Properties
Relative energy among the computed polymorphs   304 meV per atom
E_tot   -8.00 eV/atom
N(E_F)   1.108 states/eV per atom
Formation energy from the elements   1.00 eV/atom

Cell lengths 2.850, 4.634, 10.489 Å; angles 90.00, 90.00, 90.00 degrees
Space group Cmm2 (No. 35)
Asymmetric unit:
K: 0.000 0.000 0.000
Re: 0.000 0.500 0.291
Os: 0.000 0.000 0.504
Os: 0.000 0.500 0.722

[10]
Crystalline KRe2Os at its relaxed geometry, computed with PBE-GGA.

Properties
Relative energy among the computed polymorphs   509 meV per atom
E_tot   -8.01 eV/atom
N(E_F)   1.058 states/eV per atom
Formation energy from the elements   1.30 eV/atom

Cell lengths 2.696, 5.205, 10.469 Å; angles 90.00, 90.00, 90.00 degrees
Space group Imm2 (No. 44)
Asymmetric unit:
K: 0.000 0.000 0.000
Re: 0.000 0.000 0.504
Re: 0.000 0.500 0.789
Os: 0.000 0.500 0.215

[11]
Crystalline KRe2Os at its relaxed geometry, computed with PBE-GGA.

Properties
Relative energy among the computed polymorphs   1294 meV per atom
E_tot   -7.22 eV/atom
N(E_F)   1.447 states/eV per atom
Formation energy from the elements   2.08 eV/atom

Cell lengths 3.902, 3.902, 4.531 Å; angles 90.00, 90.00, 90.00 degrees
Space group P4/mmm (No. 123)
Asymmetric unit:
K: 0.000 0.000 0.000
Re: 0.000 0.500 0.500
Os: 0.500 0.500 0.000

[12]
Crystalline KReOs2 at its relaxed geometry, computed with PBE-GGA.

Properties
Relative energy among the computed polymorphs   615 meV per atom
E_tot   -7.69 eV/atom
N(E_F)   0.753 states/eV per atom
Formation energy from the elements   1.32 eV/atom

Cell lengths 2.712, 5.192, 10.306 Å; angles 90.00, 90.00, 90.00 degrees
Space group Immm (No. 71)
Asymmetric unit:
K: 0.000 0.000 0.000
Re: 0.000 0.000 0.500
Os: 0.000 0.500 0.213